The following is a PBEsol calculation of a geometry-optimized CuTcSb2 structure, from Alexandria.

## Properties
D(E_F): 0.516 states/eV/atom
ρ: 9.25 g/cm³
formation energy (no corrections): 0.164 eV per atom

abc: 3.276 3.276 8.051
angles: 78.26 78.26 60.00
Sites, in units of the cell vectors:
1 Tc 0.500 0.500 0.500
2 Cu 0.000 0.000 0.000
3 Sb 0.751 0.751 0.747
4 Sb 0.249 0.249 0.253



The following is a PBEsol calculation of a geometry-optimized K2AlFe structure, from Alexandria.

## Properties
energy of formation: 1.01 eV/atom
D(E_F): 1.416 states/eV/atom
ρ: 2.58 g/cm³

abc: 3.140 5.855 6.343
angles: 117.49 90.00 90.00
Site moments in Bohr magnetons follow the coordinates.
Sites, in units of the cell vectors:
1 Fe 0.500 0.500 0.000  2.93
2 K 0.000 0.500 0.500  -0.02
3 K 0.000 0.000 0.500  -0.02
4 Al 0.500 0.000 0.000  -0.03



The following is a PBEsol calculation of a geometry-optimized LaTlFe2 structure, from Alexandria.

## Properties
energy of formation: 0.43 eV/atom
D(E_F): 0.975 states/eV/atom
ρ: 9.59 g/cm³

abc: 3.485 3.485 6.490
angles: 90.00 90.00 90.00
Site moments in Bohr magnetons follow the coordinates.
Sites, in units of the cell vectors:
1 Fe 0.000 0.000 0.321  2.27
2 Fe 0.000 0.000 0.679  2.27
3 La 0.500 0.500 0.000  -0.24
4 Tl 0.500 0.500 0.500  -0.11



The following is a PBEsol calculation of a geometry-optimized AlAu3 structure, from Alexandria.

## Properties
energy of formation: -0.20 eV/atom
D(E_F): 0.210 states/eV/atom
ρ: 15.45 g/cm³

abc: 2.988 2.988 8.761
angles: 80.18 80.18 60.00
Sites, in units of the cell vectors:
1 Au 0.500 0.500 0.500
2 Au 0.257 0.257 0.229
3 Au 0.743 0.743 0.771
4 Al 0.000 0.000 0.000



The following is a PBEsol calculation of a geometry-optimized TlZnPt3 structure, from Alexandria.

## Properties
energy of formation: 1.50 eV/atom
D(E_F): 0.697 states/eV/atom
ρ: 11.73 g/cm³

abc: 4.946 4.946 4.946
angles: 90.00 90.00 90.00
Sites, in units of the cell vectors:
1 Pt 0.000 0.000 0.500
2 Pt 0.000 0.500 0.000
3 Pt 0.500 0.000 0.000
4 Zn 0.500 0.500 0.500
5 Tl 0.000 0.000 0.000



The following is a PBEsol calculation of a geometry-optimized LaFeAsO structure, from Alexandria.

## Properties
D(E_F): 0.166 states/eV/atom
ρ: 7.05 g/cm³
formation energy (no corrections): -1.855 eV per atom

abc: 5.646 5.585 9.411
angles: 107.26 107.45 90.00
Site moments in Bohr magnetons follow the coordinates.
Sites, in units of the cell vectors:
1 Fe 0.500 0.250 0.500  1.34
2 Fe 0.500 0.750 0.500  -1.34
3 Fe 0.000 0.750 0.500  -1.34
4 Fe 0.000 0.250 0.500  1.34
5 La 0.073 0.323 0.146  0.00
6 La 0.573 0.823 0.146  0.00
7 La 0.427 0.177 0.854  0.00
8 La 0.927 0.677 0.854  0.00
9 O 0.750 0.000 0.000  0.00
10 O 0.250 0.500 0.000  0.00
11 O 0.750 0.500 0.000  0.00
12 O 0.250 0.000 0.000  0.00
13 As 0.678 0.428 0.356  0.00
14 As 0.822 0.072 0.644  0.00
15 As 0.322 0.572 0.644  0.00
16 As 0.178 0.928 0.356  0.00



The following is a PBEsol calculation of a geometry-optimized SrIr structure, from Alexandria.

## Properties
energy of formation: 0.17 eV/atom
D(E_F): 1.243 states/eV/atom
ρ: 7.33 g/cm³

abc: 4.042 4.042 8.962
angles: 90.00 90.00 120.00
Sites, in units of the cell vectors:
1 Sr 0.333 0.667 0.708
2 Sr 0.667 0.333 0.292
3 Ir 0.667 0.333 0.965
4 Ir 0.333 0.667 0.035



The following is a PBEsol calculation of a geometry-optimized YBe2Si structure, from Alexandria.

## Properties
D(E_F): 0.409 states/eV/atom
ρ: 3.78 g/cm³
formation energy (no corrections): -0.365 eV per atom

abc: 3.705 3.705 5.431
angles: 70.06 70.06 60.00
Sites, in units of the cell vectors:
1 Y 0.256 0.256 0.233
2 Be 0.737 0.737 0.789
3 Be 0.053 0.053 0.840
4 Si 0.456 0.456 0.632



The following is a PBEsol calculation of a geometry-optimized Al2InRu structure, from Alexandria.

## Properties
energy of formation: -0.12 eV/atom
D(E_F): 0.516 states/eV/atom
ρ: 7.15 g/cm³

abc: 3.969 3.969 4.867
angles: 114.06 114.06 90.00
Sites, in units of the cell vectors:
1 Ru 0.000 0.000 0.000
2 In 0.500 0.500 0.000
3 Al 0.250 0.750 0.500
4 Al 0.750 0.250 0.500



The following is a PBEsol calculation of a geometry-optimized BaFeRh structure, from Alexandria.

## Properties
energy of formation: 0.36 eV/atom
D(E_F): 0.870 states/eV/atom
ρ: 7.60 g/cm³

abc: 3.394 3.394 6.107
angles: 106.13 106.13 90.00
Site moments in Bohr magnetons follow the coordinates.
Sites, in units of the cell vectors:
1 Rh 0.275 0.275 0.550  0.43
2 Fe 0.726 0.726 0.451  2.80
3 Ba 0.999 0.999 0.998  -0.11



The following is a PBEsol calculation of a geometry-optimized CdCo structure, from Alexandria.

## Properties
energy of formation: 0.30 eV/atom
D(E_F): 1.083 states/eV/atom
ρ: 9.58 g/cm³

abc: 2.935 4.507 5.235
angles: 115.50 106.28 90.00
Site moments in Bohr magnetons follow the coordinates.
Sites, in units of the cell vectors:
1 Cd 0.109 0.359 0.218  -0.03
2 Cd 0.891 0.641 0.782  -0.03
3 Co 0.652 0.902 0.305  1.54
4 Co 0.348 0.098 0.695  1.54



The following is a PBEsol calculation of a geometry-optimized NaHfZn2 structure, from Alexandria.

## Properties
energy of formation: 0.18 eV/atom
D(E_F): 0.566 states/eV/atom
ρ: 7.77 g/cm³

abc: 4.648 4.648 4.648
angles: 60.00 60.00 60.00
Sites, in units of the cell vectors:
1 Zn 0.250 0.250 0.250
2 Zn 0.750 0.750 0.750
3 Hf 0.500 0.500 0.500
4 Na 0.000 0.000 0.000